1.
DFT (PBE) results for a geometry-optimized CeGd structure.

M_tot, μB per cell: 14.93
Crystal system: orthorhombic
Mass density, g/cm3: 8.19
Formation enthalpy at 0 K, kJ per mole of atoms: 8
Fermi-level density of states, states/eV/f.u.: 5.251
ΔE to the lowest computed polymorph, eV per atom: 0.0000
Space-group type: No. 59

a = 3.4778 Å, b = 4.8896 Å, c = 7.8965 Å
α = 90.00°, β = 116.17°, γ = 90.00°
Positions (direct):
Gd1 0.3810 0.2500 0.1312
Gd2 0.6190 0.7500 0.8688
Ce1 0.1415 0.7500 0.3915
Ce2 0.8585 0.2500 0.6085


2.
DFT (PBE) results for a geometry-optimized Ce3Gd structure.

M_tot, μB per cell: 6.04
Crystal system: cubic
Mass density, g/cm3: 8.50
Formation enthalpy at 0 K, kJ per mole of atoms: 9
Fermi-level density of states, states/eV/f.u.: 11.436
ΔE to the lowest computed polymorph, eV per atom: 0.0015
Space-group type: No. 221

a = 4.8331 Å, b = 4.8331 Å, c = 4.8331 Å
α = 90.00°, β = 90.00°, γ = 90.00°
Positions (direct):
Ce1 0.5000 0.5000 0.0000
Gd1 0.0000 0.0000 0.0000
Ce2 0.5000 0.0000 0.5000
Ce3 0.0000 0.5000 0.5000


3.
DFT (PBE) results for a geometry-optimized Ce3Gd structure.

M_tot, μB per cell: 6.48
Crystal system: tetragonal
Mass density, g/cm3: 8.54
Formation enthalpy at 0 K, kJ per mole of atoms: 9
Fermi-level density of states, states/eV/f.u.: 11.801
ΔE to the lowest computed polymorph, eV per atom: 0.0000
Space-group type: No. 139

a = 4.8085 Å, b = 4.8085 Å, c = 5.9283 Å
α = 113.93°, β = 113.93°, γ = 90.00°
Positions (direct):
Ce1 0.7500 0.2500 0.5000
Gd1 0.0000 0.0000 0.0000
Ce2 0.5000 0.5000 0.0000
Ce3 0.2500 0.7500 0.5000


4.
DFT (PBE) results for a geometry-optimized CeGd3 structure.

M_tot, μB per cell: 6.30
Crystal system: orthorhombic
Mass density, g/cm3: 7.86
Formation enthalpy at 0 K, kJ per mole of atoms: 7
Fermi-level density of states, states/eV/f.u.: 9.663
ΔE to the lowest computed polymorph, eV per atom: 0.0000
Space-group type: No. 25

a = 5.7582 Å, b = 3.5920 Å, c = 6.2482 Å
α = 90.00°, β = 90.00°, γ = 90.00°
Positions (direct):
Gd1 0.5000 0.5000 0.2484
Gd2 0.0000 0.5000 0.5801
Gd3 0.5000 0.0000 0.7522
Ce1 0.0000 0.0000 0.0858


5.
DFT (PBE) results for a geometry-optimized CeGd3 structure.

M_tot, μB per cell: 20.93
Crystal system: tetragonal
Mass density, g/cm3: 7.95
Formation enthalpy at 0 K, kJ per mole of atoms: 10
Fermi-level density of states, states/eV/f.u.: 11.785
ΔE to the lowest computed polymorph, eV per atom: 0.0322
Space-group type: No. 139

a = 5.0298 Å, b = 5.0298 Å, c = 6.1772 Å
α = 114.02°, β = 114.02°, γ = 90.00°
Positions (direct):
Ce1 0.0000 0.0000 0.0000
Gd1 0.5000 0.5000 0.0000
Gd2 0.2500 0.7500 0.5000
Gd3 0.7500 0.2500 0.5000


6.
DFT (PBE) results for a geometry-optimized CeGd structure.

M_tot, μB per cell: 9.64
Crystal system: cubic
Mass density, g/cm3: 7.53
Formation enthalpy at 0 K, kJ per mole of atoms: 66
Fermi-level density of states, states/eV/f.u.: 6.706
ΔE to the lowest computed polymorph, eV per atom: 0.6094
Space-group type: No. 225

a = 4.5264 Å, b = 4.5264 Å, c = 4.5264 Å
α = 60.00°, β = 60.00°, γ = 60.00°
Positions (direct):
Ce1 0.0000 0.0000 0.0000
Gd1 0.5000 0.5000 0.5000